(1)
Ce5As4Se | PBE | optimized geometry

abc: 11.1606 11.1606 11.1606
angles: 158.21 149.01 38.20
Closest atoms and distances in Å follow each position.
Fractional coordinates of all 10 atoms:
Ce 0.0000 0.0000 0.0000  4 As 2.98, 2 Se 2.98
Ce 0.1999 0.1999 0.0000  6 As 2.98-2.99
Ce 0.3985 0.3985 0.0000  4 As 2.96-2.98, 2 Se 3.01
Ce 0.6016 0.6016 0.0000  4 As 2.96-2.98, 2 Se 3.01
Ce 0.8001 0.8001 0.0000  6 As 2.98-2.99
As 0.0996 0.5996 0.5000  6 Ce 2.98-2.99
As 0.2998 0.7998 0.5000  6 Ce 2.96-2.98
As 0.7002 0.2002 0.5000  6 Ce 2.96-2.98
As 0.9004 0.4004 0.5000  6 Ce 2.98-2.99
Se 0.5000 0.0000 0.5000  6 Ce 2.98-3.01

Results
Calculated density, Mg/m³: 6.8
Formation energy from raw total energies, eV/f.u.: -15.16
Energy above the most stable polymorph in this dataset, meV per atom: 0.0
Crystal system: orthorhombic

---

(2)
Dy2YSc4 | PBE | optimized geometry

abc: 10.6024 10.6024 5.2337
angles: 90.00 90.00 160.28
Closest atoms and distances in Å follow each position.
Fractional coordinates of all 7 atoms:
Dy 0.0739 0.9261 0.0000  1 Dy 3.09, 4 Sc 3.16-3.44
Dy 0.9261 0.0739 0.0000  1 Dy 3.09, 4 Sc 3.16-3.44
Y 0.5000 0.5000 0.5000  8 Dy 3.54, 2 Y 3.63
Sc 0.1806 0.8194 0.5000  6 Sc 3.20-3.42, 2 Dy 3.44
Sc 0.3025 0.6975 0.0000  2 Sc 2.85, 2 Dy 3.16
Sc 0.6975 0.3025 0.0000  2 Sc 2.85, 2 Dy 3.16
Sc 0.8194 0.1806 0.5000  6 Sc 3.20-3.42, 2 Dy 3.44

Results
Calculated density, Mg/m³: 5.0
Energy of formation from the pure elements, eV/f.u.: 1.18
Energy above the most stable polymorph in this dataset, meV per atom: 0.0
Crystal system: orthorhombic

---

(3)
AgHPtAu | PBE | optimized geometry

abc: 6.8363 6.8363 2.9057
angles: 102.03 102.03 24.83
Closest atoms and distances in Å follow each position.
Fractional coordinates of all 4 atoms:
Ag 0.0000 0.0000 0.0000  2 H 2.07
H 0.8872 0.8872 0.3884  2 Pt 1.74
Pt 0.3162 0.3162 0.3139  2 H 1.74
Au 0.6595 0.6595 0.6584  4 Pt 2.90-2.91, 4 Au 2.91-2.94, 4 Ag 2.93-2.94

Results
Calculated density, Mg/m³: 14.9
Total energy, eV per atom: -3.851
Crystal system: monoclinic

---

> Which of these has the lowest calculated density?

Dy2YSc4

---

Please write out number 1 again, unchanged.
Ce5As4Se | PBE | optimized geometry

abc: 11.1606 11.1606 11.1606
angles: 158.21 149.01 38.20
Closest atoms and distances in Å follow each position.
Fractional coordinates of all 10 atoms:
Ce 0.0000 0.0000 0.0000  4 As 2.98, 2 Se 2.98
Ce 0.1999 0.1999 0.0000  6 As 2.98-2.99
Ce 0.3985 0.3985 0.0000  4 As 2.96-2.98, 2 Se 3.01
Ce 0.6016 0.6016 0.0000  4 As 2.96-2.98, 2 Se 3.01
Ce 0.8001 0.8001 0.0000  6 As 2.98-2.99
As 0.0996 0.5996 0.5000  6 Ce 2.98-2.99
As 0.2998 0.7998 0.5000  6 Ce 2.96-2.98
As 0.7002 0.2002 0.5000  6 Ce 2.96-2.98
As 0.9004 0.4004 0.5000  6 Ce 2.98-2.99
Se 0.5000 0.0000 0.5000  6 Ce 2.98-3.01

Results
Calculated density, Mg/m³: 6.8
Formation energy from raw total energies, eV/f.u.: -15.16
Energy above the most stable polymorph in this dataset, meV per atom: 0.0
Crystal system: orthorhombic

---

> Which of these has the highest calculated density?

AgHPtAu

---

Repeat the third record exactly.
AgHPtAu | PBE | optimized geometry

abc: 6.8363 6.8363 2.9057
angles: 102.03 102.03 24.83
Closest atoms and distances in Å follow each position.
Fractional coordinates of all 4 atoms:
Ag 0.0000 0.0000 0.0000  2 H 2.07
H 0.8872 0.8872 0.3884  2 Pt 1.74
Pt 0.3162 0.3162 0.3139  2 H 1.74
Au 0.6595 0.6595 0.6584  4 Pt 2.90-2.91, 4 Au 2.91-2.94, 4 Ag 2.93-2.94

Results
Calculated density, Mg/m³: 14.9
Total energy, eV per atom: -3.851
Crystal system: monoclinic